VASP calculation (GGA-PBE) on crystalline Li7Cu2Pd2 at its relaxed geometry.

a b c (Å): 4.341 6.324 6.324
angles (deg): 89.12 75.47 75.47
Fractional coordinates of all 11 atoms:
1 Li 0.188 0.590 0.051
2 Li 0.812 0.949 0.410
3 Li 0.812 0.410 0.949
4 Li 0.188 0.051 0.590
5 Li 0.000 0.000 0.000
6 Li 0.207 0.590 0.590
7 Li 0.793 0.410 0.410
8 Cu 0.500 0.770 0.230
9 Cu 0.500 0.230 0.770
10 Pd 0.376 0.188 0.188
11 Pd 0.624 0.812 0.812

Formation energy in kJ per mole of atoms: -13
E above lowest polymorph in eV/atom: 0.007